A plane-wave DFT calculation with PBE was carried out for HfHgN3 after structural relaxation.

ΔE_f (raw) = 0.77 eV per atom
electronic total energy = -31.4 eV per cell

Cell: 4.230 4.230 4.230 Å, 90.00 90.00 90.00°
Space group Pm-3m (No. 221)
Symmetry-distinct sites (fractional):
Hf  0.000  0.000  0.000 [1 per cell]
Hg  0.500  0.500  0.500 [1 per cell]
N  0.000  0.000  0.500 [3 per cell]